# MgTa2As

MgTa2As after structural relaxation (PBE, Alexandria).

* M_tot: 0.00 μB/cell
* polymorph energy (0 for the lowest one): 0.000 kcal/mol of atoms
* DFT formation energy: -0.027 eV per atom
* electronic total energy: -7.514 eV per atom

Cell: 3.492 3.492 5.900 Å, 90.00 90.00 90.00°
Sites, in units of the cell vectors:
Mg: 0.500 0.500 0.744
As: 0.000 0.000 0.496
Ta: 0.000 0.000 0.016
Ta: 0.500 0.500 0.244